A relaxed CaCd2Br6 crystal. Source: Alexandria, functional PBE.

## Properties
Magnetic moment = 0.000 μB per atom
Energy above the most stable polymorph in this dataset = 0.29 eV/f.u.

Cell: 13.7842 12.6481 7.5049 Å, 90.00 99.99 90.00°
Space group C2/c (No. 15)
Unique sites:
Ca  0.0000  0.1038  0.2500
Cd  0.1871  0.4181  0.3170
Br  0.1132  0.0756  0.6191
Br  0.1260  0.4096  0.6309
Br  0.1289  0.2510  0.1232